# Ag2Ge2I

A relaxed Ag2Ge2I crystal (GGA-PBE, Alexandria).

- Fermi-level density of states: 2.5 states/eV/f.u.
- Energy relative to the elements, uncorrected: 335 meV per atom
- Total energy: -2.962 eV/atom
- Relative energy among the computed polymorphs: 2.455 kcal/mol of atoms

Cell: 8.3493 8.3493 3.2430 Å, 90.00 90.00 90.00°
Positions (direct):
Ag 0.1790 0.3210 0.0000
Ag 0.3210 0.8210 0.0000
Ag 0.6790 0.1790 0.0000
Ag 0.8210 0.6790 0.0000
Ge 0.1128 0.6128 0.5000
Ge 0.3872 0.1128 0.5000
Ge 0.6128 0.8872 0.5000
Ge 0.8872 0.3872 0.5000
I 0.0000 0.0000 0.5000
I 0.5000 0.5000 0.5000

---

# TcIrOs

A relaxed TcIrOs crystal (GGA-PBE, Alexandria).

- Fermi-level density of states: 2.4 states/eV/f.u.
- Total energy: -9.599 eV/atom
- Relative energy among the computed polymorphs: 14.112 kcal/mol of atoms
- Energy of formation: 553.5 meV/atom

Cell: 4.1797 4.1797 4.1797 Å, 60.00 60.00 60.00°
Positions (direct):
Tc 0.0000 0.0000 0.0000
Ir 0.5000 0.5000 0.5000
Os 0.2500 0.2500 0.2500

---

# Dy8Tl4PSe3

A relaxed Dy8Tl4PSe3 crystal (GGA-PBE, Alexandria).

- Fermi-level density of states: 8.6 states/eV/f.u.
- Energy relative to the elements, uncorrected: -1039 meV per atom
- Total energy: -4.923 eV/atom

Cell: 7.9005 7.9005 9.1362 Å, 115.75 115.75 59.83°
Positions (direct):
Dy 0.2320 0.2320 0.7116
Dy 0.2320 0.7478 0.7115
Dy 0.2522 0.7680 0.2885
Dy 0.2598 0.2598 0.2797
Dy 0.7402 0.7402 0.7203
Dy 0.7478 0.2320 0.7115
Dy 0.7680 0.2522 0.2885
Dy 0.7680 0.7680 0.2884
Tl 0.0000 0.0000 0.0000
Tl 0.0000 0.5000 0.0000
Tl 0.5000 0.0000 0.0000
Tl 0.5000 0.5000 0.0000
P 0.0000 0.0000 0.5000
Se 0.0000 0.5000 0.5000
Se 0.5000 0.0000 0.5000
Se 0.5000 0.5000 0.5000

---

# Er5GeBi4

A relaxed Er5GeBi4 crystal (GGA-PBE, Alexandria).

- Fermi-level density of states: 3.3 states/eV/f.u.
- Total energy: -5.070 eV/atom
- Energy of formation: -774.4 meV/atom

Cell: 7.5921 7.5921 7.5921 Å, 99.62 99.62 131.75°
Positions (direct):
Er 0.0000 0.0000 0.0000
Er 0.2198 0.4024 0.6222
Er 0.4024 0.7802 0.1826
Er 0.5976 0.2198 0.8174
Er 0.7802 0.5976 0.3778
Ge 0.5000 0.5000 0.0000
Bi 0.0923 0.6953 0.7876
Bi 0.3047 0.0923 0.3970
Bi 0.6953 0.9077 0.6030
Bi 0.9077 0.3047 0.2124

---

# VCuHRh2

A relaxed VCuHRh2 crystal (GGA-PBE, Alexandria).

- Fermi-level density of states: 3.6 states/eV/f.u.
- Total energy: -6.368 eV/atom
- Relative energy among the computed polymorphs: 0.109 kcal/mol of atoms

Cell: 3.8958 3.8958 3.7427 Å, 90.00 90.00 90.00°
Positions (direct):
V 0.0000 0.0000 0.0000
Cu 0.5000 0.5000 0.0000
H 0.0000 0.0000 0.5000
Rh 0.0000 0.5000 0.5000
Rh 0.5000 0.0000 0.5000

---

# TaTi4W

A relaxed TaTi4W crystal (GGA-PBE, Alexandria).

- Fermi-level density of states: 7.5 states/eV/f.u.
- Total energy: -9.288 eV/atom
- Energy of formation: 109.5 meV/atom

Cell: 5.1276 7.0024 7.0437 Å, 60.96 71.62 80.81°
Positions (direct):
Ta 0.1536 0.1990 0.3816
Ta 0.8464 0.8010 0.6184
Ti 0.0164 0.3520 0.7251
Ti 0.2801 0.8698 0.7842
Ti 0.4023 0.4329 0.8880
Ti 0.4162 0.7274 0.4396
Ti 0.5838 0.2726 0.5604
Ti 0.5977 0.5671 0.1120
Ti 0.7199 0.1302 0.2158
Ti 0.9836 0.6480 0.2749
W 0.2425 0.0263 0.0821
W 0.7575 0.9737 0.9179

---

# TbAl2GaRh4

A relaxed TbAl2GaRh4 crystal (GGA-PBE, Alexandria).

- Fermi-level density of states: 1.7 states/eV/f.u.
- Total energy: -6.450 eV/atom
- Energy of formation: -881.1 meV/atom

Cell: 7.8473 7.8473 7.8473 Å, 32.41 32.41 32.41°
Positions (direct):
Tb 0.0000 0.0000 0.0000
Al 0.2450 0.2450 0.2450
Al 0.7550 0.7550 0.7550
Ga 0.5000 0.5000 0.5000
Rh 0.1295 0.1295 0.1295
Rh 0.3873 0.3873 0.3873
Rh 0.6127 0.6127 0.6127
Rh 0.8705 0.8705 0.8705

---

# Pd5Pt3

A relaxed Pd5Pt3 crystal (GGA-PBE, Alexandria).

- Fermi-level density of states: 19.5 states/eV/f.u.
- Total energy: -5.534 eV/atom
- Relative energy among the computed polymorphs: 0.241 kcal/mol of atoms
- Energy of formation: -22.7 meV/atom

Cell: 8.3829 8.3829 8.3829 Å, 152.72 152.72 38.97°
Positions (direct):
Pd 0.0000 0.0000 0.0000
Pd 0.2509 0.2509 0.0000
Pd 0.6243 0.1243 0.5000
Pd 0.7491 0.7491 0.0000
Pd 0.8757 0.3757 0.5000
Pt 0.1255 0.6255 0.5000
Pt 0.3745 0.8745 0.5000
Pt 0.5000 0.5000 0.0000

---

# LaTa2Tl

A relaxed LaTa2Tl crystal (GGA-PBE, Alexandria).

- Fermi-level density of states: 4.4 states/eV/f.u.
- Total energy: -7.533 eV/atom
- Energy of formation: 216.7 meV/atom

Cell: 3.5228 3.5228 7.8306 Å, 90.00 90.00 90.00°
Positions (direct):
La 0.0000 0.0000 0.0000
Ta 0.0000 0.0000 0.4416
Ta 0.5000 0.5000 0.2863
Tl 0.5000 0.5000 0.6869

---

# SmGdTcNi

A relaxed SmGdTcNi crystal (GGA-PBE, Alexandria).

- Fermi-level density of states: 3.4 states/eV/f.u.
- Total energy: -8.759 eV/atom
- Energy of formation: -22.4 meV/atom

Cell: 4.8747 4.8747 4.8747 Å, 60.00 60.00 60.00°
Positions (direct):
Sm 0.0000 0.0000 0.0000
Gd 0.5000 0.5000 0.5000
Tc 0.7500 0.7500 0.7500
Ni 0.2500 0.2500 0.2500

---

# InAgPbCl6

A relaxed InAgPbCl6 crystal (GGA-PBE, Alexandria).

- Fermi-level density of states: 0.0 states/eV/f.u.
- Energy relative to the elements, uncorrected: -960 meV per atom
- Total energy: -3.225 eV/atom

Cell: 6.8679 6.8679 12.4193 Å, 90.00 90.00 120.00°
Positions (direct):
In 0.3333 0.6667 0.2500
In 0.6667 0.3333 0.7500
Ag 0.3333 0.6667 0.7500
Ag 0.6667 0.3333 0.2500
Pb 0.0000 0.0000 0.0000
Pb 0.0000 0.0000 0.5000
Cl 0.0223 0.3658 0.1318
Cl 0.0223 0.6566 0.3682
Cl 0.3434 0.3658 0.3682
Cl 0.3434 0.9777 0.1318
Cl 0.3658 0.0223 0.6318
Cl 0.3658 0.3434 0.8682
Cl 0.6342 0.6566 0.1318
Cl 0.6342 0.9777 0.3682
Cl 0.6566 0.0223 0.8682
Cl 0.6566 0.6342 0.6318
Cl 0.9777 0.3434 0.6318
Cl 0.9777 0.6342 0.8682

---

# YTc2W

A relaxed YTc2W crystal (GGA-PBE, Alexandria).

- Fermi-level density of states: 3.6 states/eV/f.u.
- Total energy: -9.797 eV/atom
- Energy of formation: 240.7 meV/atom

Cell: 2.9964 4.1280 6.0730 Å, 90.00 102.56 90.00°
Positions (direct):
Y 0.0000 0.0000 0.0000
Tc 0.2924 0.5000 0.7019
Tc 0.7076 0.5000 0.2981
W 0.5000 0.0000 0.5000

---

# Tb2Pr6Sm3In

A relaxed Tb2Pr6Sm3In crystal (GGA-PBE, Alexandria).

- Fermi-level density of states: 15.1 states/eV/f.u.
- Total energy: -4.604 eV/atom
- Energy of formation: -34.7 meV/atom

Cell: 6.2968 6.2968 11.9527 Å, 95.14 95.14 120.23°
Positions (direct):
Tb 0.1661 0.8339 0.0000
Tb 0.8339 0.1661 0.0000
Pr 0.0931 0.4195 0.7551
Pr 0.2553 0.2553 0.2469
Pr 0.4195 0.0931 0.7551
Pr 0.5805 0.9069 0.2449
Pr 0.7447 0.7447 0.7531
Pr 0.9069 0.5805 0.2449
Sm 0.0000 0.0000 0.5000
Sm 0.3314 0.6686 0.5000
Sm 0.6686 0.3314 0.5000
In 0.5000 0.5000 0.0000

---

# ZnReSi2

A relaxed ZnReSi2 crystal (GGA-PBE, Alexandria).

- Fermi-level density of states: 2.3 states/eV/f.u.
- Energy relative to the elements, uncorrected: 70 meV per atom
- Total energy: -6.072 eV/atom

Cell: 7.9714 7.9714 7.9714 Å, 21.41 21.41 21.41°
Positions (direct):
Zn 0.0000 0.0000 0.0000
Re 0.5000 0.5000 0.5000
Si 0.2454 0.2454 0.2454
Si 0.7546 0.7546 0.7546

---

# B2C

A relaxed B2C crystal (GGA-PBE, Alexandria).

- Fermi-level density of states: 0.4 states/eV/f.u.
- Total energy: -7.021 eV/atom
- Relative energy among the computed polymorphs: 7.368 kcal/mol of atoms
- Energy of formation: 504.8 meV/atom

Cell: 3.9557 4.1127 6.5398 Å, 72.02 73.91 77.70°
Positions (direct):
B 0.0000 0.0000 0.0000
B 0.0189 0.8714 0.7843
B 0.2150 0.2641 0.7264
B 0.4670 0.5978 0.4983
B 0.5635 0.2070 0.0919
B 0.5910 0.4354 0.2726
B 0.7646 0.7953 0.2526
B 0.9718 0.5641 0.0548
C 0.0447 0.6704 0.6199
C 0.2570 0.2672 0.9798
C 0.5465 0.1771 0.5210
C 0.7596 0.8317 0.4921

---

# Al3Sb

A relaxed Al3Sb crystal (GGA-PBE, Alexandria).

- Fermi-level density of states: 1.7 states/eV/f.u.
- Energy relative to the elements, uncorrected: 240 meV per atom
- Total energy: -3.597 eV/atom

Cell: 6.5695 6.5695 4.2362 Å, 90.00 90.00 101.37°
Positions (direct):
Al 0.9997 0.3588 0.7500
Al 0.0003 0.6412 0.2500
Al 0.0834 0.9166 0.7500
Al 0.3588 0.9997 0.2500
Al 0.6412 0.0003 0.7500
Al 0.9166 0.0834 0.2500
Sb 0.4000 0.6000 0.7500
Sb 0.6000 0.4000 0.2500

---

# Ac2PrYSe6

A relaxed Ac2PrYSe6 crystal (GGA-PBE, Alexandria).

- Fermi-level density of states: 0.0 states/eV/f.u.
- Energy relative to the elements, uncorrected: -1916 meV per atom
- Total energy: -5.953 eV/atom

Cell: 7.9592 7.9592 7.9592 Å, 57.50 57.50 57.50°
Positions (direct):
Ac 0.0000 0.0000 0.0000
Ac 0.4982 0.4982 0.4982
Pr 0.2893 0.2893 0.2893
Y 0.7917 0.7917 0.7917
Se 0.0710 0.4262 0.6680
Se 0.1618 0.9142 0.5836
Se 0.4262 0.6680 0.0710
Se 0.5836 0.1618 0.9142
Se 0.6680 0.0710 0.4262
Se 0.9142 0.5836 0.1618

---

# Ta2NiW

A relaxed Ta2NiW crystal (GGA-PBE, Alexandria).

- Fermi-level density of states: 4.1 states/eV/f.u.
- Total energy: -10.551 eV/atom
- Energy of formation: 59.0 meV/atom

Cell: 5.2093 5.2093 2.7513 Å, 99.84 99.84 114.84°
Positions (direct):
Ta 0.0000 0.5000 0.0000
Ta 0.5000 0.0000 0.0000
Ni 0.0000 0.0000 0.5000
W 0.5000 0.5000 0.5000

---

# NbB

A relaxed NbB crystal (GGA-PBE, Alexandria).

- Fermi-level density of states: 0.1 states/eV/f.u.
- Total energy: -8.989 eV/atom
- Energy of formation: -615.5 meV/atom

Cell: 3.2697 3.2697 3.2697 Å, 60.00 60.00 60.00°
Positions (direct):
Nb 0.0000 0.0000 0.0000
B 0.5000 0.5000 0.5000

---

# AlNi3Cl

A relaxed AlNi3Cl crystal (GGA-PBE, Alexandria).

- Fermi-level density of states: 1.7 states/eV/f.u.
- Energy relative to the elements, uncorrected: 540 meV per atom
- Total energy: -4.047 eV/atom
- Relative energy among the computed polymorphs: 0.000 kcal/mol of atoms

Cell: 4.1937 4.1937 4.1937 Å, 90.00 90.00 90.00°
Positions (direct):
Al 0.0000 0.0000 0.0000
Ni 0.0000 0.5000 0.5000
Ni 0.5000 0.0000 0.5000
Ni 0.5000 0.5000 0.0000
Cl 0.5000 0.5000 0.5000

---

# CeNd2HoTl4

A relaxed CeNd2HoTl4 crystal (GGA-PBE, Alexandria).

- Fermi-level density of states: 13.1 states/eV/f.u.
- Total energy: -4.007 eV/atom
- Energy of formation: -318.0 meV/atom

Cell: 9.5401 9.5401 9.5401 Å, 33.36 33.36 33.36°
Positions (direct):
Ce 0.0000 0.0000 0.0000
Nd 0.2488 0.2488 0.2488
Nd 0.7512 0.7512 0.7512
Ho 0.5000 0.5000 0.5000
Tl 0.1260 0.1260 0.1260
Tl 0.3762 0.3762 0.3762
Tl 0.6238 0.6238 0.6238
Tl 0.8740 0.8740 0.8740

---

# K3MgBi2O6

A relaxed K3MgBi2O6 crystal (GGA-PBE, Alexandria).

- Fermi-level density of states: 7.4 states/eV/f.u.
- Energy relative to the elements, uncorrected: -1487 meV per atom
- Total energy: -5.020 eV/atom

Cell: 6.0087 6.0087 6.5430 Å, 98.77 98.77 120.04°
Positions (direct):
K 0.0000 0.0000 0.0000
K 0.3361 0.6639 0.0000
K 0.6639 0.3361 0.0000
Mg 0.5000 0.5000 0.5000
Bi 0.1668 0.8332 0.5000
Bi 0.8332 0.1668 0.5000
O 0.1182 0.4364 0.3089
O 0.2453 0.2453 0.6894
O 0.4364 0.1182 0.3089
O 0.5636 0.8818 0.6911
O 0.7547 0.7547 0.3106
O 0.8818 0.5636 0.6911

---

# KScTe2I

A relaxed KScTe2I crystal (GGA-PBE, Alexandria).

- Fermi-level density of states: 7.5 states/eV/f.u.
- Energy relative to the elements, uncorrected: 467 meV per atom
- Total energy: -2.585 eV/atom
- Relative energy among the computed polymorphs: 32.993 kcal/mol of atoms

Cell: 5.9403 5.9403 5.9568 Å, 90.00 90.00 90.00°
Positions (direct):
K 0.0000 0.0000 0.0000
Sc 0.5000 0.5000 0.5000
Te 0.0000 0.5000 0.0000
Te 0.5000 0.0000 0.0000
I 0.0000 0.0000 0.5000

---

# Ac2Si7Tc12

A relaxed Ac2Si7Tc12 crystal (GGA-PBE, Alexandria).

- Fermi-level density of states: 18.0 states/eV/f.u.
- Energy relative to the elements, uncorrected: -331 meV per atom
- Total energy: -8.454 eV/atom

Cell: 9.8194 9.8194 4.1116 Å, 90.00 90.00 120.00°
Positions (direct):
Ac 0.0000 0.0000 0.0000
Ac 0.3333 0.6667 0.5000
Si 0.0438 0.4696 0.0000
Si 0.2786 0.2149 0.5000
Si 0.4258 0.9562 0.0000
Si 0.5304 0.5742 0.0000
Si 0.6667 0.3333 0.0000
Si 0.7851 0.0637 0.5000
Si 0.9363 0.7214 0.5000
Tc 0.0695 0.3069 0.5000
Tc 0.1162 0.7570 0.0000
Tc 0.2375 0.9305 0.5000
Tc 0.2430 0.3592 0.0000
Tc 0.3896 0.1830 0.0000
Tc 0.5605 0.4324 0.5000
Tc 0.5676 0.1280 0.5000
Tc 0.6408 0.8838 0.0000
Tc 0.6931 0.7625 0.5000
Tc 0.7934 0.6104 0.0000
Tc 0.8170 0.2066 0.0000
Tc 0.8720 0.4395 0.5000